(1)
HfTh2Ge4Pt3 | PBE-GGA | relaxed

It has space group P-4m2 (No. 115), with a = 4.3084 Å, b = 4.3084 Å, c = 10.8381 Å, α = 90.00°, β = 90.00° and γ = 90.00°. The asymmetric unit holds Hf at (0.0000, 0.0000, 0.0000), Th at (0.0000, 0.5000, 0.7383), Ge at (0.0000, 0.0000, 0.5000), Ge at (0.0000, 0.5000, 0.1480), Ge at (0.5000, 0.5000, 0.5000), Pt at (0.0000, 0.5000, 0.3772) and Pt at (0.5000, 0.5000, 0.0000).

The value obtained for the density of states at the Fermi level is 5.6 states/eV per cell. The value obtained for the formation enthalpy at 0 K is -0.870 eV/atom.

---

(2)
Y2HfGe3Pt4 | PBE-GGA | relaxed

It has space group P-4m2 (No. 115), with a = 4.1584 Å, b = 4.1584 Å, c = 11.2279 Å, α = 90.00°, β = 90.00° and γ = 90.00°. The asymmetric unit holds Y at (0.0000, 0.5000, 0.2244), Hf at (0.0000, 0.0000, 0.5000), Ge at (0.0000, 0.5000, 0.8649), Ge at (0.5000, 0.5000, 0.5000), Pt at (0.0000, 0.0000, 0.0000), Pt at (0.0000, 0.5000, 0.6470) and Pt at (0.5000, 0.5000, 0.0000).

The value obtained for the density of states at the Fermi level is 9.7 states/eV per cell. The value obtained for the formation enthalpy at 0 K is -0.951 eV/atom.

---

(3)
Pu6HfGe5 | PBE-GGA | relaxed

It has space group C2/m (No. 12), with a = 14.6174 Å, b = 8.5042 Å, c = 4.4586 Å, α = 90.00°, β = 107.69° and γ = 90.00°. The asymmetric unit holds Pu at (0.0000, 0.2366, 0.0000), Pu at (0.1741, 0.2444, 0.6739), Hf at (0.0000, 0.5000, 0.5000), Ge at (0.0000, 0.0000, 0.5000), Ge at (0.1451, 0.5000, 0.1452) and Ge at (0.1635, 0.0000, 0.1630).

The value obtained for the density of states at the Fermi level is 64.0 states/eV per cell. The value obtained for the formation enthalpy at 0 K is -0.346 eV/atom.

---

(4)
PuHfGe2 | PBE-GGA | relaxed

It has space group Pmmm (No. 47), with a = 3.0885 Å, b = 3.2352 Å, c = 8.0339 Å, α = 90.00°, β = 90.00° and γ = 90.00°. The asymmetric unit holds Pu at (0.0000, 0.0000, 0.0000), Hf at (0.0000, 0.0000, 0.5000) and Ge at (0.5000, 0.5000, 0.2642).

The value obtained for the density of states at the Fermi level is 6.0 states/eV per cell. The value obtained for the formation enthalpy at 0 K is -0.426 eV/atom. The calculation puts the energy above the most stable polymorph in this dataset at 9 meV/atom.

---

(5)
PuHfGe2 | PBE-GGA | relaxed

It has space group C2/m (No. 12), with a = 6.8071 Å, b = 3.9378 Å, c = 7.1073 Å, α = 90.00°, β = 108.69° and γ = 90.00°. The asymmetric unit holds Pu at (0.0000, 0.0000, 0.0000), Hf at (0.0000, 0.5000, 0.5000) and Ge at (0.2434, 0.0000, 0.7300).

The value obtained for the density of states at the Fermi level is 20.8 states/eV per cell. The value obtained for the formation enthalpy at 0 K is -0.404 eV/atom. The calculation puts the energy above the most stable polymorph in this dataset at 30 meV/atom.

---

(6)
PuHfGe2 | PBE-GGA | relaxed

It has space group P4/mmm (No. 123), with a = 4.4922 Å, b = 4.4922 Å, c = 3.9910 Å, α = 90.00°, β = 90.00° and γ = 90.00°. The asymmetric unit holds Pu at (0.0000, 0.0000, 0.0000), Hf at (0.5000, 0.5000, 0.0000) and Ge at (0.0000, 0.5000, 0.5000).

The value obtained for the density of states at the Fermi level is 9.0 states/eV per cell. The value obtained for the formation enthalpy at 0 K is -0.335 eV/atom. The calculation puts the energy above the most stable polymorph in this dataset at 99 meV/atom.

---

(7)
PuHfGe | PBE-GGA | relaxed

It has space group R-3m (No. 166, hexagonal axes), with a = 3.4048 Å, b = 3.4048 Å, c = 36.4686 Å, α = 90.00°, β = 90.00° and γ = 120.00°. The asymmetric unit holds Pu at (0.0000, 0.0000, 0.1489), Hf at (0.0000, 0.0000, 0.3003) and Ge at (0.0000, 0.0000, 0.4233).

The value obtained for the density of states at the Fermi level is 25.5 states/eV per cell. The value obtained for the formation enthalpy at 0 K is -0.153 eV/atom. The calculation puts the energy above the most stable polymorph in this dataset at 0 meV/atom.

---

(8)
PuHfGe | PBE-GGA | relaxed

It has space group P-6m2 (No. 187), with a = 4.7127 Å, b = 4.7127 Å, c = 3.5217 Å, α = 90.00°, β = 90.00° and γ = 120.00°. The asymmetric unit holds Pu at (0.0000, 0.0000, 0.0000), Hf at (0.3333, 0.6667, 0.5000) and Ge at (0.6667, 0.3333, 0.5000).

The value obtained for the density of states at the Fermi level is 6.2 states/eV per cell. The value obtained for the formation enthalpy at 0 K is -0.135 eV/atom. The calculation puts the energy above the most stable polymorph in this dataset at 18 meV/atom.

---

(9)
PuHfGe2 | PBE-GGA | relaxed

It has space group P4/mmm (No. 123), with a = 3.6162 Å, b = 3.6162 Å, c = 6.2252 Å, α = 90.00°, β = 90.00° and γ = 90.00°. The asymmetric unit holds Pu at (0.0000, 0.0000, 0.0000), Hf at (0.0000, 0.0000, 0.5000) and Ge at (0.5000, 0.5000, 0.2855).

The value obtained for the density of states at the Fermi level is 9.0 states/eV per cell. The value obtained for the formation enthalpy at 0 K is -0.435 eV/atom. The calculation puts the energy above the most stable polymorph in this dataset at 0 meV/atom.

---

(10)
PuHfGe2 | PBE-GGA | relaxed

It has space group R-3m (No. 166, hexagonal axes), with a = 3.0828 Å, b = 3.0828 Å, c = 31.8431 Å, α = 90.00°, β = 90.00° and γ = 120.00°. The asymmetric unit holds Pu at (0.0000, 0.0000, 0.0000), Hf at (0.0000, 0.0000, 0.5000) and Ge at (0.0000, 0.0000, 0.0937).

The value obtained for the density of states at the Fermi level is 22.0 states/eV per cell. The value obtained for the formation enthalpy at 0 K is 0.032 eV/atom. The calculation puts the energy above the most stable polymorph in this dataset at 467 meV/atom.

---

(11)
Pu2HfGe2 | PBE-GGA | relaxed

It has space group P4/mbm (No. 127), with a = 7.5259 Å, b = 7.5259 Å, c = 3.9496 Å, α = 90.00°, β = 90.00° and γ = 90.00°. The asymmetric unit holds Pu at (0.1329, 0.3671, 0.0000), Hf at (0.0000, 0.0000, 0.5000) and Ge at (0.1676, 0.6676, 0.5000).

The value obtained for the density of states at the Fermi level is 29.5 states/eV per cell. The value obtained for the formation enthalpy at 0 K is -0.428 eV/atom.

---

(12)
RbHfGe2 | PBE-GGA | relaxed

It has space group Fm-3m (No. 225), with a = 7.2373 Å, b = 7.2373 Å, c = 7.2373 Å, α = 90.00°, β = 90.00° and γ = 90.00°. The asymmetric unit holds Rb at (0.0000, 0.0000, 0.0000), Hf at (0.0000, 0.0000, 0.5000) and Ge at (0.2500, 0.2500, 0.2500).

The value obtained for the density of states at the Fermi level is 16.6 states/eV per cell. The value obtained for the formation enthalpy at 0 K is 0.495 eV/atom. The calculation puts the energy above the most stable polymorph in this dataset at 252 meV/atom.

---

no.,calculated volume (A^3/atom),final energy (eV/cell),total magnetization (μB per atom)
1,20.1,-70.08,0.00
2,19.4,-70.41,0.00
3,22.0,-246.37,2.75
4,20.1,-35.22,1.40
5,22.6,-70.27,1.23
6,20.1,-34.86,1.36
7,20.3,-176.17,0.00
8,22.6,-29.31,1.97
9,20.4,-35.26,1.40
10,21.8,-100.18,1.41
11,22.4,-99.98,2.06
12,23.7,-72.71,0.00